Record 1
## CaY4Br (GGA-PBE)

Data for CaY4Br after structural relaxation.

Lattice parameters (Å, degrees): 6.7575 6.7575 6.7575 60.00 60.00 60.00
With the nearest neighbours (Å) after each atom.
Sites, in units of the cell vectors:
Ca 0.0000 0.0000 0.0000  12 Y 3.96, 4 Br 4.14
Y 0.1190 0.6270 0.6270  6 Y 3.32-3.43
Y 0.6270 0.1190 0.6270  6 Y 3.32-3.43
Y 0.6270 0.6270 0.1190  6 Y 3.32-3.43
Y 0.6270 0.6270 0.6270  6 Y 3.32-3.43
Br 0.2500 0.2500 0.2500  12 Y 3.97, 4 Ca 4.14

SG: F-43m, No. 216
N(E_F), states/eV/f.u.: 8.59
E_tot, eV/atom: -4.670

Record 2
## CoNi14W (GGA-PBE)

Data for CoNi14W after structural relaxation.

Lattice parameters (Å, degrees): 8.1976 5.0240 5.0240 59.91 90.00 90.00
With the nearest neighbours (Å) after each atom.
Sites, in units of the cell vectors:
Co 0.0000 0.0000 0.0000  10 Ni 2.50-2.52, 2 W 2.51
Ni 0.0000 0.9999 0.5020  8 Ni 2.50-2.52, 2 Co 2.50-2.52, 2 W 2.51
Ni 0.0000 0.5020 0.9999  8 Ni 2.50-2.52, 2 Co 2.50-2.52, 2 W 2.51
Ni 0.2495 0.1655 0.1655  11 Ni 2.50-2.52, 1 Co 2.50
Ni 0.2507 0.1648 0.6681  10 Ni 2.49-2.53, 1 Co 2.51, 1 W 2.52
Ni 0.2513 0.6671 0.6671  11 Ni 2.50-2.52, 1 W 2.52
Ni 0.2507 0.6681 0.1648  10 Ni 2.49-2.53, 1 Co 2.51, 1 W 2.52
Ni 0.5000 0.3337 0.3337  12 Ni 2.51-2.52
Ni 0.5000 0.3336 0.8343  12 Ni 2.50-2.51
Ni 0.5000 0.8343 0.3336  12 Ni 2.50-2.51
Ni 0.5000 0.8338 0.8338  12 Ni 2.50-2.51
Ni 0.7493 0.1648 0.6681  10 Ni 2.49-2.53, 1 Co 2.51, 1 W 2.52
Ni 0.7487 0.6671 0.6671  11 Ni 2.50-2.52, 1 W 2.52
Ni 0.7493 0.6681 0.1648  10 Ni 2.49-2.53, 1 Co 2.51, 1 W 2.52
Ni 0.7505 0.1655 0.1655  11 Ni 2.50-2.52, 1 Co 2.50
W 0.0000 0.5009 0.5009  2 Co 2.51, 10 Ni 2.51-2.52

SG: Amm2, No. 38
N(E_F), states/eV/f.u.: 25.39
Energy of formation from the pure elements, eV per formula unit: 0.234

Record 3
## LiTcNi (GGA-PBE)

Data for LiTcNi after structural relaxation.

Lattice parameters (Å, degrees): 13.4710 2.5336 4.6317 90.00 98.59 90.00
With the nearest neighbours (Å) after each atom.
Sites, in units of the cell vectors:
Li 0.0000 0.0000 0.0000  6 Li 2.53-2.65, 3 Tc 2.66-2.82, 3 Ni 2.67-2.78
Li 0.0113 0.5000 0.5024  6 Li 2.53-2.65, 3 Ni 2.66-2.72, 1 Tc 2.72
Li 0.5000 0.5000 0.0000  6 Li 2.53-2.65, 3 Tc 2.66-2.82, 3 Ni 2.67-2.78
Li 0.5113 0.0000 0.5024  6 Li 2.53-2.65, 3 Ni 2.66-2.72, 1 Tc 2.72
Tc 0.1804 0.5000 0.2450  3 Tc 2.47-2.53, 6 Ni 2.59-2.68, 1 Li 2.72
Tc 0.3304 0.5000 0.6219  3 Tc 2.47-2.53, 6 Ni 2.59-2.65, 1 Li 2.66
Tc 0.6804 0.0000 0.2450  3 Tc 2.47-2.53, 6 Ni 2.59-2.68, 1 Li 2.72
Tc 0.8304 0.0000 0.6219  3 Tc 2.47-2.53, 6 Ni 2.59-2.65, 1 Li 2.66
Ni 0.1758 0.0000 0.7522  3 Ni 2.53-2.55, 6 Tc 2.59-2.68, 3 Li 2.66-2.78
Ni 0.3364 0.0000 0.1212  3 Ni 2.53-2.55, 6 Tc 2.59-2.65, 3 Li 2.67-2.72
Ni 0.6758 0.5000 0.7522  3 Ni 2.53-2.55, 6 Tc 2.59-2.68, 3 Li 2.66-2.78
Ni 0.8364 0.5000 0.1212  3 Ni 2.53-2.55, 6 Tc 2.59-2.65, 3 Li 2.67-2.72

SG: Cm, No. 8
N(E_F), states/eV/f.u.: 1.86
Energy of formation from the pure elements, eV per formula unit: 0.197
Energy above the most stable polymorph in this dataset, meV per atom: 3

Q: Which formula does entry 2 have?
A: CoNi14W

Q: N(E_F) of number 3 (LiTcNi)?
A: 1.86 states/eV/f.u.

Q: Which of these has the lowest N(E_F)?
A: LiTcNi

Q: Among the records above, which one has the lowest N(E_F)?
A: LiTcNi